#A
## TlInAu4 (GGA-PBE)

Data for a geometry-optimized TlInAu4 structure.

Geometry as POSCAR:
```
TlInAu4
1.0
-4.3890 1.1207 -3.4043
0.1266 -1.6455 -5.4208
-3.3637 -4.2052 -1.7637
Au Tl In
4 1 1
Cartesian
-4.7648 -2.9553 -6.6159
-2.5738 -3.5148 -4.9164
-3.0856 -0.8560 -5.7355
-4.8280 -2.1338 -3.9098
0.0000 0.0000 0.0000
-1.9065 -1.1825 -2.6472
```

- SG = No. 216
- crystal system = cubic

#B
## TlInAu4 (GGA-PBE)

Data for a geometry-optimized TlInAu4 structure.

Geometry as POSCAR:
```
TlInAu4
1.0
-3.0683 -4.3345 -0.8311
1.4375 -1.3934 4.9876
-5.9889 7.2007 1.0005
Au In Tl
8 2 2
Cartesian
-4.0190 4.3567 1.1135
-5.0029 1.3826 2.9744
-0.9244 -1.5932 4.2185
-3.0581 -2.6340 1.0013
-4.5615 4.1069 4.1557
-2.6168 0.0903 2.1826
-3.6007 -2.8838 4.0435
-6.6953 3.0661 0.9385
-2.2757 2.9036 2.9940
-4.5286 1.4331 0.0847
-1.3847 -4.4012 2.9086
-6.2350 5.8740 2.2484
```

- SG = No. 12
- crystal system = monoclinic

#C
## TlInAu4 (GGA-PBE)

Data for a geometry-optimized TlInAu4 structure.

Geometry as POSCAR:
```
TlInAu4
1.0
5.4472 -0.1237 -0.6431
-0.1305 6.0176 -2.2632
-0.4796 -0.3896 8.1273
In Tl Au
2 2 8
Cartesian
2.4838 -0.2567 3.7421
-0.3050 2.8140 2.9320
4.0682 0.7031 -0.7817
1.2486 5.1908 -2.1247
2.2492 1.6166 1.6960
4.2198 2.1428 5.0375
3.3350 3.5741 -0.2414
2.5879 3.8877 3.5249
0.6173 3.3615 0.1834
5.0082 -0.0740 1.9870
-0.1710 5.5783 3.2340
1.5022 1.9302 5.4623
```

- SG = No. 15
- crystal system = monoclinic

Pick #C: it beats the second-best structure by 6 meV per atom.

#A
## Tm4InAu (GGA-PBE)

Data for a geometry-optimized Tm4InAu structure.

Geometry as POSCAR:
```
Tm4InAu
1.0
4.8210 0.0000 -2.2591
0.0000 6.8237 0.0000
-0.2375 0.0000 9.7114
Tm In Au
8 2 2
Cartesian
2.9687 1.7059 7.1104
0.0741 6.7725 7.1924
0.0741 3.4631 7.1924
1.6148 5.1178 0.3420
4.5095 3.3606 0.2600
4.5095 0.0512 0.2600
1.6982 5.1178 4.6275
2.8854 1.7059 2.8249
3.0841 5.1178 7.3990
1.4995 1.7059 0.0533
3.5843 5.1178 2.5297
0.9993 1.7059 4.9227
```

- SG = No. 11
- crystal system = monoclinic

#B
## Tm4InAu (GGA-PBE)

Data for a geometry-optimized Tm4InAu structure.

Geometry as POSCAR:
```
Tm4InAu
1.0
6.8463 0.0000 -0.1556
0.0000 7.2635 0.0000
-0.2621 0.0000 7.3539
In Au Tm
2 2 8
Cartesian
0.0000 0.0000 0.0000
3.4232 3.6318 -0.0778
-0.1311 3.6318 3.6770
3.2921 0.0000 3.5992
2.1298 2.4153 2.4680
4.4544 4.8482 4.7303
6.0132 4.6963 1.0908
5.5530 1.2165 2.3902
0.5710 2.5673 6.1075
1.0312 6.0470 4.8081
3.9941 1.0645 6.0297
2.5901 6.1990 1.1686
```

- SG = No. 14
- crystal system = monoclinic

Pick #A: it beats the second-best structure by 238 meV per atom.

#A
## UInAu2 (GGA-PBE)

Data for a geometry-optimized UInAu2 structure.

Geometry as POSCAR:
```
UInAu2
1.0
-0.6623 2.4666 -2.0197
-3.1013 -0.9762 -0.1753
-1.8416 4.7090 6.3549
U In Au
1 1 2
Cartesian
-2.8026 3.0997 2.0799
-1.8818 0.7452 -1.0975
-0.4450 1.1378 1.5355
-1.3966 3.5712 4.8194
```

- SG = No. 123
- crystal system = tetragonal

#B
## UInAu2 (GGA-PBE)

Data for a geometry-optimized UInAu2 structure.

Geometry as POSCAR:
```
UInAu2
1.0
-4.6778 0.0152 1.7219
-1.7897 -3.9926 2.3881
-0.8487 0.2042 4.9076
In Au U
1 2 1
Cartesian
-3.6581 -1.8866 4.5088
-5.4872 -2.8299 6.7631
-1.8291 -0.9433 2.2544
0.0000 0.0000 0.0000
```

- SG = No. 225
- crystal system = cubic

Pick #B: it beats the second-best structure by 92 meV per atom.

#A
## In2WAu (GGA-PBE)

Data for a geometry-optimized In2WAu structure.

Geometry as POSCAR:
```
In2WAu
1.0
-1.6917 -4.8217 2.6073
1.9342 -4.8785 -2.3170
1.0807 4.9642 2.6642
W Au In
1 1 2
Cartesian
-0.2449 -2.3538 2.7083
1.5681 -2.3822 0.2461
0.1205 -4.8211 0.1443
0.0007 -0.0290 0.0009
```

- SG = No. 71
- crystal system = orthorhombic

#B
## In2WAu (GGA-PBE)

Data for a geometry-optimized In2WAu structure.

Geometry as POSCAR:
```
In2WAu
1.0
9.7320 0.0008 0.0005
9.2509 3.0219 0.0005
9.2509 1.4731 2.6386
In W Au
2 1 1
Cartesian
28.2229 4.4941 2.6386
14.1277 2.2496 1.3208
7.0584 1.1240 0.6599
21.1753 3.3719 1.9797
```

- SG = No. 166
- crystal system = trigonal

Pick #B: it beats the second-best structure by 150 meV per atom.

#A
## YIn3Au (GGA-PBE)

Data for a geometry-optimized YIn3Au structure.

Geometry as POSCAR:
```
YIn3Au
1.0
5.2898 0.0000 0.0000
0.0000 5.2898 0.0000
0.0000 0.0000 5.2898
Y Au In
1 1 3
Cartesian
2.6449 2.6449 2.6449
0.0000 0.0000 0.0000
0.0000 2.6449 0.0000
0.0000 0.0000 2.6449
2.6449 0.0000 0.0000
```

- SG = No. 221
- crystal system = cubic

#B
## YIn3Au (GGA-PBE)

Data for a geometry-optimized YIn3Au structure.

Geometry as POSCAR:
```
YIn3Au
1.0
5.8862 0.0000 0.0000
0.0000 5.8862 0.0000
0.0000 0.0000 5.8862
In Au Y
3 1 1
Cartesian
0.0000 2.9431 0.0000
0.0000 0.0000 2.9431
2.9431 0.0000 0.0000
2.9431 2.9431 2.9431
0.0000 0.0000 0.0000
```

- SG = No. 221
- crystal system = cubic

Pick #A: it beats the second-best structure by 720 meV per atom.

#A
## YInAu4 (GGA-PBE)

Data for a geometry-optimized YInAu4 structure.

Geometry as POSCAR:
```
YInAu4
1.0
0.0000 3.9674 3.9674
3.9674 0.0000 3.9674
3.9674 3.9674 0.0000
Au In Y
4 1 1
Cartesian
4.9592 4.9592 2.9756
2.9756 2.9756 2.9756
4.9592 2.9756 4.9592
2.9756 4.9592 4.9592
5.9511 5.9511 5.9511
0.0000 0.0000 0.0000
```

- SG = No. 216
- crystal system = cubic

#B
## YInAu4 (GGA-PBE)

Data for a geometry-optimized YInAu4 structure.

Geometry as POSCAR:
```
YInAu4
1.0
-1.2821 3.2789 3.6845
-1.3233 -3.9240 3.0317
3.6793 -2.1377 3.1830
Au In Y
4 1 1
Cartesian
-0.9449 -1.3259 4.3845
1.9764 -1.4441 5.5067
1.9783 -5.0460 5.1885
0.3360 -1.0018 1.0179
1.1576 -3.0239 3.1027
1.1774 0.5771 3.4298
```

- SG = No. 65
- crystal system = orthorhombic

Pick #B: it beats the second-best structure by 86 meV per atom.